Record 1
A geometry-optimized AcYTe structure. Source: Alexandria via LeMat-Bulk, functional PBE-GGA.

Output
The space-group type is P-6m2, No. 187. As for the relative energy among the computed polymorphs: 0.1970 eV per atom. The value obtained for the size of the total moment is 0.0 μB/cell.

abc: 4.2330 5.3479 5.3479
angles: 120.00 90.00 90.00
Atoms (fractional coordinates):
Y  0.1669  0.0000  0.0000
Te  0.1663  0.3333  0.6667
Ac  0.6668  0.6667  0.3333

=====

Record 2
A geometry-optimized Ac4ZnTe3 structure. Source: Alexandria via LeMat-Bulk, functional PBE-GGA.

Output
The space-group type is Cmmm, No. 65. The value obtained for the size of the total moment is 0.0 μB/cell. Its total energy is -4.56 eV/atom.

abc: 4.5818 8.2687 8.2687
angles: 108.14 90.00 90.00
Atoms (fractional coordinates):
Ac  0.0000  0.7658  0.7658
Ac  0.5000  0.2423  0.7577
Te  0.0000  0.0000  0.5000
Te  0.0000  0.5000  0.0000
Ac  0.0000  0.2342  0.2342
Te  0.5000  0.5000  0.5000
Ac  0.5000  0.7577  0.2423
Zn  0.5000  0.0000  0.0000

=====

Record 3
A geometry-optimized AcZnTe structure. Source: Alexandria via LeMat-Bulk, functional PBE-GGA.

Output
The space-group type is C2/m, No. 12. The value obtained for the size of the total moment is 0.0 μB/cell. Its total energy is -3.61 eV/atom.

abc: 6.5126 6.5126 7.1485
angles: 93.70 93.70 39.24
Atoms (fractional coordinates):
Te  0.2401  0.2401  0.3435
Ac  0.5238  0.5238  0.4431
Ac  0.2294  0.2294  0.8643
Zn  0.9695  0.9695  0.7316
Te  0.5131  0.5131  0.9639
Zn  0.7837  0.7837  0.5758

=====

Record 4
A geometry-optimized Ac3ZnTe6 structure. Source: Alexandria via LeMat-Bulk, functional PBE-GGA.

Output
The space-group type is Cmc2_1, No. 36. The value obtained for the size of the total moment is 0.0 μB/cell. Its total energy is -4.46 eV/atom.

abc: 7.2386 10.5667 10.5667
angles: 102.32 90.00 90.00
Atoms (fractional coordinates):
Te  0.6856  0.9076  0.4291
Ac  0.4762  0.9328  0.7204
Zn  0.0421  0.1966  0.8034
Ac  0.8969  0.6226  0.3774
Ac  0.9762  0.0672  0.2796
Te  0.1856  0.4291  0.9076
Te  0.1605  0.0401  0.9599
Te  0.6605  0.9599  0.0401
Te  0.6856  0.5709  0.0924
Ac  0.9762  0.7204  0.9328
Ac  0.4762  0.2796  0.0672
Ac  0.3969  0.3774  0.6226
Te  0.1856  0.0924  0.5709
Te  0.6914  0.3274  0.3568
Te  0.1795  0.7813  0.2187
Te  0.1914  0.6726  0.6432
Te  0.6795  0.2187  0.7813
Te  0.1914  0.3568  0.3274
Te  0.6914  0.6432  0.6726
Zn  0.5421  0.8034  0.1966

=====

no.,volume (Å³ per atom)
1,34.9
2,37.2
3,31.9
4,39.5